# 1
{"formula": "MgCoSb2", "functional": "PBE-GGA", "state": "relaxed", "space_group": "F-43m (216)", "e_form_raw_ev_per_atom": 0.42, "magnetic_moment_mub_per_fu": 1.07, "cell": [[-3.2774, 2.5659, -2.6196], [-4.1559, 1.5638, 2.1145], [-0.6523, 4.7921, 0.8934]], "species": ["Mg", "Sb", "Co", "Sb"], "fractional_positions": [[0.7500, 0.7500, 0.7500], [0.0000, 0.0000, 0.0000], [0.5000, 0.5000, 0.5000], [0.2500, 0.2500, 0.2500]]}

# 2
{"formula": "Mg3CoSb", "functional": "PBE-GGA", "state": "relaxed", "space_group": "Pm-3m (221)", "polymorph_energy_ev_per_atom": 0.000, "e_form_raw_ev_per_atom": 0.27, "magnetic_moment_mub_per_fu": 0.08, "cell": [[4.8238, 0.0000, 0.0000], [0.0000, 4.8238, 0.0000], [0.0000, 0.0000, 4.8238]], "species": ["Mg", "Co", "Sb", "Mg", "Mg"], "fractional_positions": [[0.0000, 0.0000, 0.5000], [0.0000, 0.0000, 0.0000], [0.5000, 0.5000, 0.5000], [0.5000, 0.0000, 0.0000], [0.0000, 0.5000, 0.0000]]}

# 3
{"formula": "MgCoSb", "functional": "PBE-GGA", "state": "relaxed", "space_group": "Imm2 (44)", "e_form_raw_ev_per_atom": -0.17, "magnetic_moment_mub_per_fu": 0.00, "cell": [[6.8080, -0.0036, -0.0038], [-1.4443, 4.1936, 0.0020], [-1.2675, -0.4378, 3.9328]], "species": ["Sb", "Mg", "Co", "Mg", "Co", "Sb"], "fractional_positions": [[0.0617, 0.4085, 0.7440], [0.0349, 0.8951, 0.2305], [0.7795, 0.2674, 0.1030], [0.5473, 0.6513, 0.9868], [0.3109, 0.0329, 0.8686], [0.5386, 0.1469, 0.4825]]}

# 4
{"formula": "Mg2CoSb", "functional": "PBE-GGA", "state": "relaxed", "space_group": "P2/m (10)", "e_form_raw_ev_per_atom": 0.01, "magnetic_moment_mub_per_fu": 0.85, "cell": [[4.1677, 0.0000, 0.0000], [0.0000, 4.1735, 0.0064], [0.0000, 4.1773, 4.1461]], "species": ["Sb", "Co", "Mg", "Mg"], "fractional_positions": [[0.5000, 0.5000, 0.5000], [0.0000, 0.0000, 0.5000], [0.5000, 0.5000, 0.0000], [0.0000, 0.0000, 0.0000]]}

# 5
{"formula": "MgCoSb2", "functional": "PBE-GGA", "state": "relaxed", "space_group": "P4mm (99)", "e_form_raw_ev_per_atom": -0.02, "magnetic_moment_mub_per_fu": 0.78, "cell": [[-2.5659, 1.7438, -0.6525], [-1.0055, -0.3633, 2.9845], [4.1486, 6.9438, 2.2429]], "species": ["Sb", "Sb", "Mg", "Co"], "fractional_positions": [[0.0000, 0.0000, 0.9600], [0.5000, 0.5000, 0.3370], [0.5000, 0.5000, 0.6983], [0.0000, 0.0000, 0.5047]]}

# 6
{"formula": "MgCoSb", "functional": "PBE-GGA", "state": "relaxed", "space_group": "P4/nmm (129)", "e_form_raw_ev_per_atom": -0.25, "magnetic_moment_mub_per_fu": 0.62, "cell": [[-1.6281, -2.8645, 2.6541], [3.6849, -2.0788, 0.0169], [1.8895, 3.3884, 4.8161]], "species": ["Co", "Mg", "Sb", "Sb", "Co", "Mg"], "fractional_positions": [[0.0000, 0.0000, 0.5000], [0.0000, 0.5000, 0.7809], [0.0000, 0.5000, 0.2549], [0.5000, 0.0000, 0.7451], [0.5000, 0.5000, 0.5000], [0.5000, 0.0000, 0.2191]]}

# 7
{"formula": "MgCoSb2", "functional": "PBE-GGA", "state": "relaxed", "space_group": "C2/m (12)", "e_form_raw_ev_per_atom": -0.08, "magnetic_moment_mub_per_fu": 0.00, "cell": [[-3.0673, -0.0726, 2.2417], [-0.4200, -2.7939, 2.5409], [2.2030, 2.8384, 6.3225]], "species": ["Sb", "Mg", "Co", "Sb"], "fractional_positions": [[0.4799, 0.4799, 0.5590], [0.2500, 0.2500, 0.2500], [0.7500, 0.7500, 0.7500], [0.0201, 0.0201, 0.9410]]}

# 8
{"formula": "MgCo2Sb2", "functional": "PBE-GGA", "state": "relaxed", "space_group": "P4/mbm (127)", "polymorph_energy_ev_per_atom": 0.000, "e_form_raw_ev_per_atom": 0.05, "magnetic_moment_mub_per_fu": 0.00, "cell": [[7.2036, 0.0000, 0.0000], [0.0000, 7.2036, 0.0000], [0.0000, 0.0000, 3.3031]], "species": ["Sb", "Mg", "Co", "Co", "Co", "Sb", "Sb", "Sb", "Co", "Mg"], "fractional_positions": [[0.8364, 0.3364, 0.5000], [0.5000, 0.5000, 0.0000], [0.6291, 0.1291, 0.0000], [0.8709, 0.6291, 0.0000], [0.3709, 0.8709, 0.0000], [0.3364, 0.1636, 0.5000], [0.1636, 0.6636, 0.5000], [0.6636, 0.8364, 0.5000], [0.1291, 0.3709, 0.0000], [0.0000, 0.0000, 0.0000]]}

# 9
{"formula": "MgCoSb2", "functional": "PBE-GGA", "state": "relaxed", "space_group": "C2/m (12)", "e_form_raw_ev_per_atom": 0.23, "magnetic_moment_mub_per_fu": 0.56, "cell": [[-2.9054, -0.6720, 3.8186], [4.2300, -1.6212, 1.7185], [0.7630, 3.2223, 1.1360]], "species": ["Mg", "Sb", "Sb", "Co"], "fractional_positions": [[0.0000, 0.5000, 0.5000], [0.0000, 0.0000, 0.0000], [0.5000, 0.5000, 0.0000], [0.5000, 0.0000, 0.5000]]}

# 10
{"formula": "MgCo2SbSe", "functional": "PBE-GGA", "state": "relaxed", "space_group": "P4/mmm (123)", "e_form_raw_ev_per_atom": 1.26, "magnetic_moment_mub_per_fu": 2.77, "cell": [[4.5990, 0.0000, 0.0000], [0.0000, 5.2311, 0.0000], [0.0000, 0.0000, 4.5990]], "species": ["Co", "Mg", "Sb", "Co", "Se"], "fractional_positions": [[0.0000, 0.0000, 0.5000], [0.0000, 0.0000, 0.0000], [0.0000, 0.5000, 0.0000], [0.5000, 0.0000, 0.0000], [0.5000, 0.5000, 0.5000]]}

# 11
{"formula": "MgTaCoSb2", "functional": "PBE-GGA", "state": "relaxed", "space_group": "P4/mmm (123)", "e_form_raw_ev_per_atom": 1.73, "magnetic_moment_mub_per_fu": 1.31, "cell": [[-4.1386, 0.0995, -2.8795], [-2.8081, -0.4417, 4.0208], [-0.1771, 5.0214, 0.4280]], "species": ["Ta", "Sb", "Sb", "Co", "Mg"], "fractional_positions": [[0.0000, 0.5000, 0.0000], [0.5000, 0.0000, 0.0000], [0.0000, 0.0000, 0.5000], [0.5000, 0.5000, 0.5000], [0.0000, 0.0000, 0.0000]]}

# 12
{"formula": "MgTi2CoSb", "functional": "PBE-GGA", "state": "relaxed", "space_group": "P4/mmm (123)", "e_form_raw_ev_per_atom": 1.49, "magnetic_moment_mub_per_fu": 2.00, "cell": [[4.7601, 0.0000, 0.0000], [0.0000, 4.9418, 0.0000], [0.0000, 0.0000, 4.7601]], "species": ["Ti", "Co", "Mg", "Sb", "Ti"], "fractional_positions": [[0.5000, 0.0000, 0.0000], [0.5000, 0.5000, 0.5000], [0.0000, 0.0000, 0.0000], [0.0000, 0.5000, 0.0000], [0.0000, 0.0000, 0.5000]]}

# 13
{"formula": "MgScCo2", "functional": "PBE-GGA", "state": "relaxed", "space_group": "R3m (160)", "formation_enthalpy_0k_kj_per_mol_atoms": 25.9, "magnetic_moment_mub_per_fu": 3.19, "cell": [[-3.0169, -7.5071, 3.6556], [-0.6151, -8.5500, 2.3110], [-0.3956, -7.3367, 4.9838]], "species": ["Mg", "Sc", "Co", "Co"], "fractional_positions": [[0.5116, 0.5116, 0.5116], [0.7375, 0.7375, 0.7375], [0.9909, 0.9909, 0.9909], [0.2600, 0.2600, 0.2600]]}

# 14
{"formula": "Mg3ScCo8", "functional": "PBE-GGA", "state": "relaxed", "space_group": "P3m1 (156)", "formation_enthalpy_0k_kj_per_mol_atoms": -12.4, "magnetic_moment_mub_per_fu": 10.06, "cell": [[-2.4109, 1.2595, -4.0044], [0.9097, -4.6666, 0.9106], [-6.8261, -0.5632, 3.9327]], "species": ["Co", "Mg", "Co", "Co", "Co", "Sc", "Co", "Co", "Mg", "Co", "Mg", "Co"], "fractional_positions": [[0.6740, 0.8370, 0.2497], [0.0000, 0.0000, 0.9423], [0.3333, 0.6667, 0.9971], [0.5043, 0.4957, 0.7503], [0.3333, 0.6667, 0.4995], [0.0000, 0.0000, 0.5670], [0.1630, 0.8370, 0.2497], [0.5043, 0.0086, 0.7503], [0.6667, 0.3333, 0.4319], [0.1630, 0.3260, 0.2497], [0.6667, 0.3333, 0.0626], [0.9914, 0.4957, 0.7503]]}

# 15
{"formula": "Mg2ScCo", "functional": "PBE-GGA", "state": "relaxed", "space_group": "C2/m (12)", "formation_enthalpy_0k_kj_per_mol_atoms": 19.2, "magnetic_moment_mub_per_fu": 0.86, "cell": [[-4.0675, 0.3055, 2.9328], [1.5877, -5.3614, -1.1855], [1.2764, -0.8269, 2.5703]], "species": ["Mg", "Mg", "Co", "Sc"], "fractional_positions": [[0.5000, 0.0000, 0.5000], [0.0000, 0.0000, 0.0000], [0.5000, 0.5000, 0.0000], [0.0000, 0.5000, 0.5000]]}

# 16
{"formula": "Mg2ScCo", "functional": "PBE-GGA", "state": "relaxed", "space_group": "I4/mmm (139)", "formation_enthalpy_0k_kj_per_mol_atoms": 5.7, "magnetic_moment_mub_per_fu": 0.00, "cell": [[5.3338, 0.0002, 0.0000], [2.3481, 4.7891, 0.0000], [-3.8409, -2.3947, 2.8217]], "species": ["Mg", "Co", "Sc", "Mg"], "fractional_positions": [[0.5000, 0.5000, 0.0000], [0.7500, 0.2500, 0.5000], [0.2500, 0.7500, 0.5000], [0.0000, 0.0000, 0.0000]]}

# 17
{"formula": "Mg2Sc2Co", "functional": "PBE-GGA", "state": "relaxed", "space_group": "P4/mbm (127)", "formation_enthalpy_0k_kj_per_mol_atoms": 26.2, "polymorph_energy_ev_per_atom": 0.469, "magnetic_moment_mub_per_fu": 0.00, "cell": [[6.5285, 0.0000, 0.0000], [0.0000, 6.5285, 0.0000], [0.0000, 0.0000, 4.8088]], "species": ["Sc", "Sc", "Sc", "Mg", "Mg", "Mg", "Sc", "Mg", "Co", "Co"], "fractional_positions": [[0.6787, 0.8213, 0.5000], [0.3213, 0.1787, 0.5000], [0.8213, 0.3213, 0.5000], [0.6466, 0.1466, 0.0000], [0.8534, 0.6466, 0.0000], [0.1466, 0.3534, 0.0000], [0.1787, 0.6787, 0.5000], [0.3534, 0.8534, 0.0000], [0.0000, 0.0000, 0.0000], [0.5000, 0.5000, 0.0000]]}

# 18
{"formula": "MgScCo", "functional": "PBE-GGA", "state": "relaxed", "space_group": "F-43m (216)", "formation_enthalpy_0k_kj_per_mol_atoms": 6.3, "magnetic_moment_mub_per_fu": 0.00, "cell": [[-0.1168, 1.3933, 4.1044], [-3.7698, 1.1972, 1.7767], [-1.8257, -2.4557, 3.0720]], "species": ["Sc", "Mg", "Co"], "fractional_positions": [[0.5000, 0.5000, 0.5000], [0.0000, 0.0000, 0.0000], [0.2500, 0.2500, 0.2500]]}

# 19
{"formula": "MgScCo2", "functional": "PBE-GGA", "state": "relaxed", "space_group": "R-3m (166)", "formation_enthalpy_0k_kj_per_mol_atoms": 18.5, "magnetic_moment_mub_per_fu": 1.36, "cell": [[-3.8255, 0.1925, 7.3363], [-3.0017, -2.6448, 7.2449], [-1.1015, -0.5835, 8.1817]], "species": ["Co", "Co", "Sc", "Mg"], "fractional_positions": [[0.4979, 0.4979, 0.4979], [0.0021, 0.0021, 0.0021], [0.7500, 0.7500, 0.7500], [0.2500, 0.2500, 0.2500]]}

# 20
{"formula": "Mg2ScCo", "functional": "PBE-GGA", "state": "relaxed", "space_group": "P4/mmm (123)", "formation_enthalpy_0k_kj_per_mol_atoms": 5.3, "magnetic_moment_mub_per_fu": 0.23, "cell": [[4.7083, 0.0000, 0.0000], [0.0000, 3.9149, 0.0000], [0.0000, 0.0000, 3.9149]], "species": ["Mg", "Mg", "Co", "Sc"], "fractional_positions": [[0.0000, 0.0000, 0.0000], [0.0000, 0.5000, 0.5000], [0.5000, 0.0000, 0.5000], [0.5000, 0.5000, 0.0000]]}

# 21
{"formula": "Mg2ScCo", "functional": "PBE-GGA", "state": "relaxed", "space_group": "Pm (6)", "formation_enthalpy_0k_kj_per_mol_atoms": -10.5, "magnetic_moment_mub_per_fu": 0.27, "cell": [[3.1450, 0.0000, 0.0000], [0.0000, 3.1213, 0.0160], [0.0000, 3.0709, 7.7065]], "species": ["Mg", "Sc", "Mg", "Co"], "fractional_positions": [[0.0000, 0.0523, 0.9482], [0.0000, 0.4369, 0.5629], [0.5000, 0.2556, 0.2436], [0.5000, 0.7552, 0.7453]]}

# 22
{"formula": "MgScCo2", "functional": "PBE-GGA", "state": "relaxed", "space_group": "Amm2 (38)", "formation_enthalpy_0k_kj_per_mol_atoms": -3.8, "magnetic_moment_mub_per_fu": 1.25, "cell": [[-3.2767, 1.2871, 1.4297], [-1.8722, -1.5616, -2.8850], [-1.4137, -4.6895, 0.9817]], "species": ["Mg", "Co", "Sc", "Co"], "fractional_positions": [[0.0000, 0.4757, 0.4236], [0.5000, 0.0702, 0.2351], [0.5000, 0.7708, 0.8335], [0.0000, 0.1834, 0.0078]]}

# 23
{"formula": "MgSc3Co", "functional": "PBE-GGA", "state": "relaxed", "space_group": "Pm-3m (221)", "formation_enthalpy_0k_kj_per_mol_atoms": -3.1, "polymorph_energy_ev_per_atom": 0.085, "magnetic_moment_mub_per_fu": 0.00, "cell": [[4.8829, 0.0000, 0.0000], [0.0000, 4.8829, 0.0000], [0.0000, 0.0000, 4.8829]], "species": ["Sc", "Sc", "Co", "Mg", "Sc"], "fractional_positions": [[0.0000, 0.5000, 0.0000], [0.5000, 0.0000, 0.0000], [0.0000, 0.0000, 0.0000], [0.5000, 0.5000, 0.5000], [0.0000, 0.0000, 0.5000]]}

# 24
{"formula": "MgScCo2", "functional": "PBE-GGA", "state": "relaxed", "space_group": "F-43m (216)", "formation_enthalpy_0k_kj_per_mol_atoms": 12.2, "magnetic_moment_mub_per_fu": 2.40, "cell": [[-3.3582, 2.7647, -0.6667], [-4.0519, -1.1020, 1.3164], [-1.8477, 2.0801, 3.4095]], "species": ["Sc", "Co", "Co", "Mg"], "fractional_positions": [[0.7500, 0.7500, 0.7500], [0.0000, 0.0000, 0.0000], [0.2500, 0.2500, 0.2500], [0.5000, 0.5000, 0.5000]]}

# 25
{"formula": "MgSc3Co", "functional": "PBE-GGA", "state": "relaxed", "space_group": "P2_1/m (11)", "formation_enthalpy_0k_kj_per_mol_atoms": -11.4, "polymorph_energy_ev_per_atom": 0.000, "magnetic_moment_mub_per_fu": 0.00, "cell": [[-2.6577, -2.0336, 0.8320], [0.5175, -3.8634, -7.7899], [4.3393, -3.2457, 5.9284]], "species": ["Sc", "Co", "Sc", "Mg", "Sc", "Co", "Sc", "Mg", "Sc", "Sc"], "fractional_positions": [[0.6955, 0.9959, 0.9058], [0.1955, 0.7756, 0.8893], [0.1955, 0.0337, 0.2440], [0.6955, 0.0957, 0.5863], [0.6955, 0.6744, 0.0565], [0.6955, 0.6460, 0.6647], [0.6955, 0.3879, 0.3101], [0.1955, 0.3258, 0.9678], [0.1955, 0.7472, 0.4976], [0.1955, 0.4257, 0.6483]]}

# 26
{"formula": "Mg4Sc5Co2", "functional": "PBE-GGA", "state": "relaxed", "space_group": "Pbam (55)", "formation_enthalpy_0k_kj_per_mol_atoms": -15.1, "magnetic_moment_mub_per_fu": 0.00, "cell": [[-0.1692, -3.2973, 0.1044], [7.4997, -0.3382, 1.4715], [-3.3745, 0.7227, 17.3644]], "species": ["Mg", "Sc", "Sc", "Mg", "Mg", "Sc", "Mg", "Co", "Mg", "Sc", "Sc", "Mg", "Sc", "Sc", "Co", "Co", "Mg", "Sc", "Co", "Mg", "Sc", "Sc"], "fractional_positions": [[0.5000, 0.3170, 0.5619], [0.0000, 0.3572, 0.4004], [0.0000, 0.6428, 0.5996], [0.5000, 0.8170, 0.9381], [0.5000, 0.1830, 0.0619], [0.0000, 0.2886, 0.7206], [0.5000, 0.6830, 0.4381], [0.5000, 0.0652, 0.7987], [0.5000, 0.0341, 0.3486], [0.0000, 0.1428, 0.9004], [0.0000, 0.5000, 0.0000], [0.5000, 0.9659, 0.6514], [0.0000, 0.7114, 0.2794], [0.0000, 0.7886, 0.7794], [0.5000, 0.9348, 0.2013], [0.5000, 0.4348, 0.2987], [0.5000, 0.4659, 0.8486], [0.0000, 0.2114, 0.2206], [0.5000, 0.5652, 0.7013], [0.5000, 0.5341, 0.1514], [0.0000, 0.8572, 0.0996], [0.0000, 0.0000, 0.5000]]}

# 27
{"formula": "MgScCo", "functional": "PBE-GGA", "state": "relaxed", "space_group": "Pm (6)", "formation_enthalpy_0k_kj_per_mol_atoms": -18.4, "magnetic_moment_mub_per_fu": 0.00, "cell": [[3.4924, 0.0024, 0.3453], [-0.0033, 3.6740, 0.0092], [0.8932, -0.0223, 8.7979]], "species": ["Mg", "Sc", "Co", "Sc", "Mg", "Co"], "fractional_positions": [[0.9187, 0.7292, 0.2442], [0.6985, 0.7291, 0.6839], [0.1578, 0.2293, 0.7655], [0.5333, 0.2295, 0.0140], [0.3152, 0.2283, 0.4535], [0.0739, 0.7294, 0.9324]]}